Compound: SrLi2Ni
Source: the Alexandria database
Functional: GGA-PBEsol
Structure: optimized geometry

Properties
- energy relative to the lowest polymorph listed for this composition (meV/atom) = 67

abc: 4.311 4.311 5.852
angles: 68.39 68.39 60.00
Fractional coordinates of all 4 atoms:
Li  0.198  0.198  0.405
Li  0.802  0.802  0.595
Ni  0.500  0.500  0.500
Sr  0.000  0.000  0.000



Compound: SrLiNi3
Source: the Alexandria database
Functional: GGA-PBEsol
Structure: optimized geometry

abc: 4.229 4.229 4.229
angles: 90.00 90.00 90.00
Last column: magnetic moment on the atom in μB.
Fractional coordinates of all 5 atoms:
Sr  0.500  0.500  0.500  -0.01
Li  0.000  0.000  0.000  -0.01
Ni  0.000  0.500  0.000  0.17
Ni  0.000  0.000  0.500  0.17
Ni  0.500  0.000  0.000  0.17



Compound: SrLi2Ni
Source: the Alexandria database
Functional: GGA-PBEsol
Structure: optimized geometry

Properties
- energy relative to the lowest polymorph listed for this composition (meV/atom) = 0

abc: 4.341 4.345 5.829
angles: 111.88 90.00 119.97
Fractional coordinates of all 4 atoms:
Li  0.050  0.101  0.151
Li  0.762  0.523  0.284
Ni  0.446  0.892  0.337
Sr  0.242  0.484  0.727



Compound: Li3TaNi
Source: the Alexandria database
Functional: GGA-PBEsol
Structure: optimized geometry

abc: 4.865 4.865 4.865
angles: 90.00 90.00 90.00
Last column: magnetic moment on the atom in μB.
Fractional coordinates of all 5 atoms:
Ni  0.500  0.500  0.500  -0.69
Li  0.000  0.500  0.000  0.07
Li  0.000  0.000  0.500  0.07
Li  0.500  0.000  0.000  0.07
Ta  0.000  0.000  0.000  2.30



| no. | energy relative to the elements (eV/atom) | total DFT energy (no corrections) (eV/atom) |
| --- | --- | --- |
| 1 | 0.185 | -2.80 |
| 2 | 0.535 | -3.92 |
| 3 | 0.117 | -2.87 |
| 4 | 2.000 | -2.92 |